*one*
This record from Alexandria via LeMat-Bulk describes a geometry-optimized BaAuI2O structure. The functional is GGA-PBE.

Computed properties:
Density of states at the Fermi level in states/eV/atom: 0.978

Cell lengths 5.9711, 5.9711, 4.2266 Å; angles 90.00, 90.00, 90.00 degrees
Space group P4/mmm (No. 123)
One atom of each set of equivalent atoms:
Ba 0.0000 0.0000 0.0000
Au 0.5000 0.5000 0.5000
I 0.0000 0.5000 0.5000
O 0.5000 0.5000 0.0000

=====

*two*
This record from Alexandria via LeMat-Bulk describes a geometry-optimized BaAuI2O structure. The functional is GGA-PBE.

Computed properties:
Density of states at the Fermi level in states/eV/atom: 1.566

Cell lengths 6.8207, 6.8207, 4.4734 Å; angles 90.00, 90.00, 90.00 degrees
Space group P4/mmm (No. 123)
One atom of each set of equivalent atoms:
Ba 0.0000 0.0000 0.0000
Au 0.5000 0.5000 0.5000
I 0.0000 0.5000 0.0000
O 0.0000 0.0000 0.5000

=====

Stability ranking, top and bottom: *one* is the most stable and *two* is the least stable.

=====

*one*
This record from Alexandria via LeMat-Bulk describes a geometry-optimized BaSbAuI2 structure. The functional is GGA-PBE.

Computed properties:
Density of states at the Fermi level in states/eV/atom: 0.290

Cell lengths 6.5634, 6.5634, 7.8642 Å; angles 90.00, 90.00, 90.00 degrees
Space group P4/mmm (No. 123)
One atom of each set of equivalent atoms:
Ba 0.0000 0.0000 0.0000
Sb 0.0000 0.0000 0.5000
Au 0.5000 0.5000 0.5000
I 0.0000 0.5000 0.0000

=====

*two*
This record from Alexandria via LeMat-Bulk describes a geometry-optimized BaSbAuI2 structure. The functional is GGA-PBE.

Computed properties:
Density of states at the Fermi level in states/eV/atom: 0.908

Cell lengths 5.7849, 5.7849, 5.5759 Å; angles 90.00, 90.00, 90.00 degrees
Space group P4/mmm (No. 123)
One atom of each set of equivalent atoms:
Ba 0.0000 0.0000 0.0000
Sb 0.5000 0.5000 0.0000
Au 0.5000 0.5000 0.5000
I 0.0000 0.5000 0.5000

=====

Stability ranking, top and bottom: *two* is the most stable and *one* is the least stable.

=====

*one*
This record from Alexandria via LeMat-Bulk describes a geometry-optimized BaTeAuI2 structure. The functional is GGA-PBE.

Computed properties:
Density of states at the Fermi level in states/eV/atom: 0.283

Cell lengths 5.6673, 5.6673, 5.7654 Å; angles 90.00, 90.00, 90.00 degrees
Space group P4/mmm (No. 123)
One atom of each set of equivalent atoms:
Ba 0.0000 0.0000 0.0000
Te 0.5000 0.5000 0.0000
Au 0.5000 0.5000 0.5000
I 0.0000 0.5000 0.5000

=====

*two*
This record from Alexandria via LeMat-Bulk describes a geometry-optimized BaTeAuI2 structure. The functional is GGA-PBE.

Computed properties:
Density of states at the Fermi level in states/eV/atom: 0.960

Cell lengths 6.6603, 6.6603, 7.0933 Å; angles 90.00, 90.00, 90.00 degrees
Space group P4/mmm (No. 123)
One atom of each set of equivalent atoms:
Ba 0.0000 0.0000 0.0000
Te 0.0000 0.0000 0.5000
Au 0.5000 0.5000 0.5000
I 0.0000 0.5000 0.0000

=====

Stability ranking, top and bottom: *one* is the most stable and *two* is the least stable.

=====

*one*
This record from Alexandria via LeMat-Bulk describes a geometry-optimized Ba6In2Au structure. The functional is GGA-PBE.

Computed properties:
Density of states at the Fermi level in states/eV/atom: 1.315

Cell lengths 8.0621, 9.2716, 14.2098 Å; angles 90.00, 123.49, 90.00 degrees
Space group P2_1/c (No. 14)
One atom of each set of equivalent atoms:
Ba 0.1053 0.1809 0.4368
Ba 0.2726 0.6758 0.4350
Ba 0.3834 0.0329 0.2581
In 0.2024 0.1114 0.7459
Au 0.0000 0.0000 0.0000

=====

*two*
This record from Alexandria via LeMat-Bulk describes a geometry-optimized Ba6In2Au structure. The functional is GGA-PBE.

Computed properties:
Density of states at the Fermi level in states/eV/atom: 1.139

Cell lengths 11.5002, 11.8801, 11.8891 Å; angles 90.00, 90.00, 90.00 degrees
Space group Immm (No. 71)
One atom of each set of equivalent atoms:
Ba 0.0000 0.2326 0.1625
Ba 0.1655 0.2177 0.5000
Ba 0.2223 0.5000 0.2984
In 0.0000 0.0000 0.3653
In 0.1252 0.5000 0.0000
Au 0.0000 0.0000 0.0000
Au 0.0000 0.5000 0.5000

=====

Stability ranking, top and bottom: *one* is the most stable and *two* is the least stable.

=====

*one*
This record from Alexandria via LeMat-Bulk describes a geometry-optimized Ba3InAu3 structure. The functional is GGA-PBE.

Computed properties:
Density of states at the Fermi level in states/eV/atom: 0.556

Cell lengths 9.8449, 9.8449, 6.6571 Å; angles 90.00, 90.00, 120.00 degrees
Space group P6_3/m (No. 176)
One atom of each set of equivalent atoms:
Ba 0.0603 0.6990 0.2500
In 0.3333 0.6667 0.7500
Au 0.0596 0.6875 0.7500

=====

*two*
This record from Alexandria via LeMat-Bulk describes a geometry-optimized Ba3InAu3 structure. The functional is GGA-PBE.

Computed properties:
Density of states at the Fermi level in states/eV/atom: 0.699

Cell lengths 12.8390, 4.6392, 16.5910 Å; angles 90.00, 109.41, 90.00 degrees
Space group C2/m (No. 12)
One atom of each set of equivalent atoms:
Ba 0.0182 0.0000 0.3805
Ba 0.1027 0.0000 0.9238
Ba 0.2353 0.0000 0.2326
In 0.2424 0.5000 0.4132
Au 0.0260 0.5000 0.2304
Au 0.1109 0.5000 0.0778
Au 0.1251 0.5000 0.5407

=====

Stability ranking, top and bottom: *two* is the most stable and *one* is the least stable.

=====

*one*
This record from Alexandria via LeMat-Bulk describes a geometry-optimized Ba2In2Au structure. The functional is GGA-PBE.

Computed properties:
Density of states at the Fermi level in states/eV/atom: 1.378

Cell lengths 7.8116, 7.8116, 5.5183 Å; angles 90.00, 90.00, 90.00 degrees
Space group P4/mbm (No. 127)
One atom of each set of equivalent atoms:
Ba 0.1674 0.3326 0.0000
In 0.1398 0.6398 0.5000
Au 0.0000 0.0000 0.5000

=====

*two*
This record from Alexandria via LeMat-Bulk describes a geometry-optimized Ba2In2Au structure. The functional is GGA-PBE.

Computed properties:
Density of states at the Fermi level in states/eV/atom: 0.626

Cell lengths 4.3551, 4.9644, 15.8709 Å; angles 90.00, 90.00, 90.00 degrees
Space group Amm2 (No. 38)
One atom of each set of equivalent atoms:
Ba 0.0000 0.0000 0.0000
Ba 0.0000 0.0000 0.2434
In 0.5000 0.0000 0.6185
In 0.5000 0.0000 0.8227
Au 0.5000 0.0000 0.4191

=====

*three*
This record from Alexandria via LeMat-Bulk describes a geometry-optimized Ba2In2Au structure. The functional is GGA-PBE.

Computed properties:
Density of states at the Fermi level in states/eV/atom: 0.790

Cell lengths 12.9053, 4.5897, 12.7891 Å; angles 90.00, 112.49, 90.00 degrees
Space group C2/m (No. 12)
One atom of each set of equivalent atoms:
Ba 0.0142 0.0000 0.1628
Ba 0.1898 0.0000 0.6195
In 0.0282 0.5000 0.3901
In 0.1934 0.5000 0.0559
Au 0.1792 0.5000 0.8183

=====

*four*
This record from Alexandria via LeMat-Bulk describes a geometry-optimized Ba2In2Au structure. The functional is GGA-PBE.

Computed properties:
Density of states at the Fermi level in states/eV/atom: 0.625

Cell lengths 6.8507, 6.8507, 8.3214 Å; angles 90.00, 90.00, 90.00 degrees
Space group I4/mmm (No. 139)
One atom of each set of equivalent atoms:
Ba 0.0000 0.5000 0.2500
In 0.0000 0.0000 0.1640
Au 0.0000 0.0000 0.5000

=====

Stability ranking, top and bottom: *three* is the most stable and *four* is the least stable.

=====

*one*
This record from Alexandria via LeMat-Bulk describes a geometry-optimized BaIn4Au2 structure. The functional is GGA-PBE.

Computed properties:
Density of states at the Fermi level in states/eV/atom: 0.278

Cell lengths 19.3499, 4.8847, 7.6283 Å; angles 90.00, 90.00, 90.00 degrees
Space group Pnma (No. 62)
One atom of each set of equivalent atoms:
Ba 0.1365 0.2500 0.0138
In 0.0347 0.7500 0.8177
In 0.0731 0.2500 0.4970
In 0.1854 0.7500 0.3219
In 0.1914 0.7500 0.7182
Au 0.0390 0.7500 0.2531
Au 0.2210 0.2500 0.5238

=====

*two*
This record from Alexandria via LeMat-Bulk describes a geometry-optimized BaIn4Au2 structure. The functional is GGA-PBE.

Computed properties:
Density of states at the Fermi level in states/eV/atom: 0.450

Cell lengths 4.6564, 17.5784, 4.6128 Å; angles 90.00, 90.00, 90.00 degrees
Space group Cmmm (No. 65)
One atom of each set of equivalent atoms:
Ba 0.0000 0.0000 0.0000
In 0.0000 0.1800 0.5000
In 0.0000 0.3165 0.0000
Au 0.0000 0.4206 0.5000

=====

Stability ranking, top and bottom: *one* is the most stable and *two* is the least stable.

=====

*one*
This record from Alexandria via LeMat-Bulk describes a geometry-optimized Ba3In3Au8 structure. The functional is GGA-PBE.

Computed properties:
Density of states at the Fermi level in states/eV/atom: 0.407

Cell lengths 4.9262, 10.1155, 14.5199 Å; angles 90.00, 90.00, 90.00 degrees
Space group Immm (No. 71)
One atom of each set of equivalent atoms:
Ba 0.0000 0.0000 0.0000
Ba 0.0000 0.0000 0.2918
In 0.0000 0.2015 0.5000
In 0.0000 0.5000 0.0000
Au 0.0000 0.2867 0.1352
Au 0.0000 0.3601 0.3394

=====

*two*
This record from Alexandria via LeMat-Bulk describes a geometry-optimized Ba3In3Au8 structure. The functional is GGA-PBE.

Computed properties:
Density of states at the Fermi level in states/eV/atom: 0.393

Cell lengths 17.8007, 4.6684, 10.1281 Å; angles 90.00, 119.76, 90.00 degrees
Space group C2/m (No. 12)
One atom of each set of equivalent atoms:
Ba 0.0000 0.0000 0.0000
Ba 0.1990 0.5000 0.6455
In 0.0000 0.0000 0.5000
In 0.1800 0.5000 0.0114
Au 0.0143 0.5000 0.7087
Au 0.1074 0.0000 0.3716
Au 0.1323 0.0000 0.8253
Au 0.1395 0.5000 0.2459

=====

Stability ranking, top and bottom: *two* is the most stable and *one* is the least stable.

=====

*one*
This record from Alexandria via LeMat-Bulk describes a geometry-optimized BaInAu4 structure. The functional is GGA-PBE.

Computed properties:
Density of states at the Fermi level in states/eV/atom: 0.322

Cell lengths 5.3121, 16.2475, 7.1424 Å; angles 90.00, 90.00, 90.00 degrees
Space group Cmcm (No. 63)
One atom of each set of equivalent atoms:
Ba 0.0000 0.1049 0.2500
In 0.0000 0.3656 0.2500
Au 0.0000 0.0985 0.7500
Au 0.0000 0.2624 0.5558
Au 0.0000 0.5000 0.0000

=====

*two*
This record from Alexandria via LeMat-Bulk describes a geometry-optimized BaInAu4 structure. The functional is GGA-PBE.

Computed properties:
Density of states at the Fermi level in states/eV/atom: 0.965

Cell lengths 8.2298, 8.2298, 8.2298 Å; angles 90.00, 90.00, 90.00 degrees
Space group F-43m (No. 216)
One atom of each set of equivalent atoms:
Ba 0.0000 0.0000 0.0000
In 0.2500 0.2500 0.7500
Au 0.1241 0.1241 0.3759

=====

*three*
This record from Alexandria via LeMat-Bulk describes a geometry-optimized BaInAu4 structure. The functional is GGA-PBE.

Computed properties:
Density of states at the Fermi level in states/eV/atom: 0.337

Cell lengths 10.7160, 7.7440, 7.5297 Å; angles 90.00, 107.71, 90.00 degrees
Space group C2/m (No. 12)
One atom of each set of equivalent atoms:
Ba 0.1864 0.0000 0.2712
In 0.1121 0.5000 0.2252
Au 0.0000 0.3175 0.5000
Au 0.1105 0.2752 0.9138
Au 0.1179 0.0000 0.6684

=====

Stability ranking, top and bottom: *three* is the most stable and *two* is the least stable.